Ac4PmNd8: relaxed, PBE.

Results
Energy relative to the elements, eV per atom: 0.51
Total moment, μB per formula unit: 0.0
Volume, Å³ per atom: 42.74

Cell and atoms, written as POSCAR:
```
Ac4PmNd8
1.0
-2.5408 -11.2859 -1.0346
4.7571 4.0062 9.8091
-4.2298 7.0028 -0.8088
Ac Pm Nd
4 1 8
Direct
0.0000 0.0000 0.0000
0.5000 0.0000 0.0000
0.0000 0.5000 0.0000
0.5000 0.5000 0.0000
0.0000 0.5000 0.5000
0.9987 0.2405 0.7569
0.4836 0.2418 0.2430
0.0013 0.2418 0.2431
0.5169 0.7584 0.2753
0.9987 0.7582 0.7569
0.5164 0.7582 0.7570
0.0013 0.7595 0.2431
0.4831 0.2416 0.7247
```

=====

KRhBr2F: relaxed, PBE.

Results
E_form (uncorrected), kJ/mol of formula units: -517
Total moment, μB per formula unit: 0.0
Volume, Å³ per atom: 23.14

Cell and atoms, written as POSCAR:
```
KRhBr2F
1.0
5.2112 0.0000 0.0000
0.0000 5.2112 0.0000
0.0000 0.0000 4.2602
F K Br Rh
1 1 2 1
Direct
0.0000 0.0000 0.5000
0.5000 0.5000 0.5000
0.0000 0.5000 0.0000
0.5000 0.0000 0.0000
0.0000 0.0000 0.0000
```

=====

Sb4Pb: relaxed, PBE.

Results
E_form (uncorrected), kJ/mol of formula units: 106
Total moment, μB per formula unit: 0.0
Energy above the most stable polymorph in this dataset, eV/atom: 0.031
Volume, Å³ per atom: 29.61

Cell and atoms, written as POSCAR:
```
Sb4Pb
1.0
3.8852 0.1272 -4.5325
0.9248 0.7290 5.8539
-1.6051 -5.7500 -0.1244
Pb Sb
1 4
Direct
0.0000 0.0000 0.0000
0.4026 0.1703 0.5729
0.1703 0.5974 0.7677
0.5974 0.8297 0.4271
0.8297 0.4026 0.2323
```

=====

TcHgW2: relaxed, PBE.

Results
Energy relative to the elements, eV per atom: 0.61
Total moment, μB per formula unit: 0.0
Volume, Å³ per atom: 16.52

Cell and atoms, written as POSCAR:
```
TcHgW2
1.0
4.9402 -0.0083 0.0000
1.6238 4.6657 0.0000
-3.2820 -2.3287 2.8656
W Tc Hg
2 1 1
Direct
0.2500 0.7500 0.5000
0.0000 0.0000 0.0000
0.7500 0.2500 0.5000
0.5000 0.5000 0.0000
```

=====

NaAlN2O: relaxed, PBE.

Results
E_form (uncorrected), kJ/mol of formula units: -9
Total moment, μB per formula unit: 3.6
Volume, Å³ per atom: 11.60

Cell and atoms, written as POSCAR:
```
NaAlN2O
1.0
3.9348 0.0000 0.0000
0.0000 3.9348 0.0000
0.0000 0.0000 3.7469
Na O N Al
1 1 2 1
Direct
0.5000 0.5000 0.5000
0.0000 0.0000 0.5000
0.5000 0.0000 0.0000
0.0000 0.5000 0.0000
0.0000 0.0000 0.0000
```

=====

MgCuPb2: relaxed, PBE.

Results
Energy relative to the elements, eV per atom: 0.16
Total moment, μB per formula unit: 0.0
Volume, Å³ per atom: 24.67

Cell and atoms, written as POSCAR:
```
MgCuPb2
1.0
-3.3937 4.0448 2.5211
-4.6244 -2.5042 2.5645
5.8473 0.1967 0.0625
Pb Mg Cu
2 1 1
Direct
0.5304 0.5304 0.0000
0.9696 0.9696 0.0000
0.2500 0.7500 0.5000
0.7500 0.2500 0.5000
```

=====

ZnGaPdRu: relaxed, PBE.

Results
Energy relative to the elements, eV per atom: -0.42
Total moment, μB per formula unit: 0.0
Energy above the most stable polymorph in this dataset, eV/atom: 0.000
Volume, Å³ per atom: 14.15

Cell and atoms, written as POSCAR:
```
ZnGaPdRu
1.0
-1.2068 -2.6272 1.2281
2.0529 0.7280 3.5747
-3.3677 2.2380 1.4783
Ga Ru Pd Zn
1 1 1 1
Direct
0.0000 0.5000 0.5000
0.5000 0.0000 0.5000
0.5000 0.5000 0.0000
0.0000 0.0000 0.0000
```

=====

Sc3TlRu: relaxed, PBE.

Results
Energy relative to the elements, eV per atom: -0.14
Total moment, μB per formula unit: 0.0
Energy above the most stable polymorph in this dataset, eV/atom: 0.226
Volume, Å³ per atom: 24.98

Cell and atoms, written as POSCAR:
```
Sc3TlRu
1.0
4.9986 0.0000 0.0000
0.0000 4.9986 0.0000
0.0000 0.0000 4.9986
Sc Tl Ru
3 1 1
Direct
0.5000 0.0000 0.0000
0.0000 0.5000 0.0000
0.0000 0.0000 0.5000
0.5000 0.5000 0.5000
0.0000 0.0000 0.0000
```

=====

TaBeAg2: relaxed, PBE.

Results
Energy relative to the elements, eV per atom: 0.71
Total moment, μB per formula unit: 0.0
Volume, Å³ per atom: 16.79

Cell and atoms, written as POSCAR:
```
TaBeAg2
1.0
3.7509 0.0000 0.0000
0.0000 3.7509 0.0000
1.8754 1.8754 9.5472
Be Ta Ag
2 2 4
Direct
0.2500 0.7500 0.5000
0.5000 0.5000 0.0000
0.0000 0.0000 0.0000
0.7500 0.2500 0.5000
0.8750 0.8643 0.7500
0.3750 0.3857 0.7500
0.1357 0.6250 0.2500
0.6143 0.1250 0.2500
```

=====

PuScCdGa: relaxed, PBE.

Results
Energy relative to the elements, eV per atom: -0.29
Total moment, μB per formula unit: 5.8
Energy above the most stable polymorph in this dataset, eV/atom: 0.000
Volume, Å³ per atom: 21.89

Cell and atoms, written as POSCAR:
```
PuScCdGa
1.0
3.1761 0.0000 0.0000
0.0000 3.1761 0.0000
0.0000 0.0000 8.6811
Ga Pu Cd Sc
1 1 1 1
Direct
0.0000 0.0000 0.5533
0.5000 0.5000 0.8001
0.0000 0.0000 0.0888
0.5000 0.5000 0.3424
```

=====

HoScTcAu: relaxed, PBE.

Results
Energy relative to the elements, eV per atom: -0.42
Total moment, μB per formula unit: 0.0
Volume, Å³ per atom: 19.63

Cell and atoms, written as POSCAR:
```
HoScTcAu
1.0
4.8062 0.0000 0.0000
2.4031 4.1623 0.0000
2.4031 1.3874 3.9243
Tc Au Sc Ho
1 1 1 1
Direct
0.5000 0.5000 0.5000
0.0000 0.0000 0.0000
0.2500 0.2500 0.2500
0.7500 0.7500 0.7500
```

=====

Fe11Co4Ni9: relaxed, PBE.

Results
Energy relative to the elements, eV per atom: 0.01
Total moment, μB per formula unit: 40.6
Volume, Å³ per atom: 11.37

Cell and atoms, written as POSCAR:
```
Fe11Co4Ni9
1.0
2.4844 0.0000 0.0000
0.0000 10.2501 -2.1771
0.0000 2.0261 10.2810
Ni Fe Co
9 11 4
Direct
0.5000 0.8689 0.3776
0.5000 0.9651 0.7947
0.5000 0.3776 0.8689
0.5000 0.1311 0.6224
0.5000 0.2053 0.0349
0.5000 0.6224 0.1311
0.5000 0.7947 0.9651
0.5000 0.0349 0.2053
0.5000 0.5000 0.5000
0.0000 0.5880 0.9242
0.0000 0.8273 0.1727
0.0000 0.9242 0.5880
0.0000 0.0758 0.4120
0.0000 0.7603 0.7603
0.0000 0.3477 0.6523
0.0000 0.0000 0.0000
0.0000 0.1727 0.8273
0.0000 0.2397 0.2397
0.0000 0.4120 0.0758
0.0000 0.6523 0.3477
0.5000 0.7187 0.5544
0.5000 0.4456 0.2813
0.5000 0.2813 0.4456
0.5000 0.5544 0.7187
```

=====

Sequential total DFT energy (no corrections) output: -0.1490, -0.1398, -0.1404, -0.3135, -0.1967, -0.1146, -0.1877, -0.2302, -0.1693, -0.2369, -0.2409, -0.2654 hartree per atom